VASP calculation (PBE+U) on K3U2MnO9 after structural relaxation.

The energy is -115.6 eV for the cell shown. The calculated density comes out at 5.926 Mg/m³. The crystal system is trigonal. The calculation puts the volume at 222 Å³ per cell.

It has space group P-3m1 (No. 164), with a = 5.9330 Å, b = 5.9330 Å, c = 7.2824 Å, α = 90.00°, β = 90.00° and γ = 120.00°. Symmetry generates all atoms from K at (0.0000, 0.0000, 0.0000), K at (0.3333, 0.6667, 0.6603), U at (0.3333, 0.6667, 0.1793), Mn at (0.0000, 0.0000, 0.5000), O at (0.0000, 0.5000, 0.0000) and O at (0.1676, 0.3353, 0.3331).